# BaSbCl

Crystalline BaSbCl at its relaxed geometry (PBE, Alexandria via LeMat-Bulk).

Results
Energy above the lowest structure with this stoichiometry in meV per atom: 0
Raw total energy in Ry per atom: -0.303
Total magnetization in μB per formula unit: 0.00

Cell: 4.404 4.404 10.698 Å, 96.72 96.72 87.02°
Fractional coordinates of all 6 atoms:
Ba (0.212, 0.212, 0.289)
Ba (0.788, 0.788, 0.711)
Sb (0.213, 0.213, 0.966)
Sb (0.787, 0.787, 0.034)
Cl (0.277, 0.277, 0.604)
Cl (0.723, 0.723, 0.396)

***

# Ba2SbCl

Crystalline Ba2SbCl at its relaxed geometry (PBE, Alexandria via LeMat-Bulk).

Results
Raw total energy in Ry per atom: -0.292
Total magnetization in μB per formula unit: 0.00

Cell: 5.891 5.891 5.891 Å, 60.00 60.00 60.00°
Fractional coordinates of all 4 atoms:
Ba (0.250, 0.250, 0.250)
Ba (0.750, 0.750, 0.750)
Sb (0.000, 0.000, 0.000)
Cl (0.500, 0.500, 0.500)

***

# BaSbCl

Crystalline BaSbCl at its relaxed geometry (PBE, Alexandria via LeMat-Bulk).

Results
Energy above the lowest structure with this stoichiometry in meV per atom: 565
Raw total energy in Ry per atom: -0.262
Total magnetization in μB per formula unit: 1.97

Cell: 5.252 5.252 4.970 Å, 90.00 90.00 120.00°
Fractional coordinates of all 3 atoms:
Ba (0.000, 0.000, 0.000)
Sb (0.333, 0.667, 0.500)
Cl (0.667, 0.333, 0.000)

***

# BaSbCl6

Crystalline BaSbCl6 at its relaxed geometry (PBE, Alexandria via LeMat-Bulk).

Results
Raw total energy in Ry per atom: -0.256
Total magnetization in μB per formula unit: 0.58

Cell: 7.542 7.542 7.542 Å, 54.45 54.45 54.45°
Fractional coordinates of all 8 atoms:
Ba (0.000, 0.000, 0.000)
Sb (0.500, 0.500, 0.500)
Cl (0.104, 0.704, 0.464)
Cl (0.296, 0.536, 0.896)
Cl (0.464, 0.104, 0.704)
Cl (0.536, 0.896, 0.296)
Cl (0.704, 0.464, 0.104)
Cl (0.896, 0.296, 0.536)

***

# Ba4SbSeCl2

Crystalline Ba4SbSeCl2 at its relaxed geometry (PBE, Alexandria via LeMat-Bulk).

Results
Raw total energy in Ry per atom: -0.305
Total magnetization in μB per formula unit: 0.00

Cell: 8.072 4.829 8.310 Å, 90.00 110.26 90.00°
Fractional coordinates of all 8 atoms:
Ba (0.241, 0.000, 0.243)
Ba (0.246, 0.500, 0.753)
Ba (0.754, 0.500, 0.247)
Ba (0.759, 0.000, 0.757)
Sb (0.000, 0.000, 0.500)
Se (0.000, 0.500, 0.000)
Cl (0.500, 0.000, 0.000)
Cl (0.500, 0.500, 0.500)

***

# Ba6SbSe3Cl2

Crystalline Ba6SbSe3Cl2 at its relaxed geometry (PBE, Alexandria via LeMat-Bulk).

Results
Raw total energy in Ry per atom: -0.321
Total magnetization in μB per formula unit: 0.00

Cell: 8.192 8.192 8.272 Å, 99.48 99.48 119.99°
Fractional coordinates of all 12 atoms:
Ba (0.087, 0.418, 0.761)
Ba (0.244, 0.244, 0.238)
Ba (0.418, 0.087, 0.761)
Ba (0.582, 0.913, 0.239)
Ba (0.756, 0.756, 0.762)
Ba (0.913, 0.582, 0.239)
Sb (0.000, 0.000, 0.500)
Se (0.167, 0.833, 0.000)
Se (0.500, 0.500, 0.000)
Se (0.833, 0.167, 0.000)
Cl (0.334, 0.666, 0.500)
Cl (0.666, 0.334, 0.500)

***

# Ba8Sb3Te4Cl

Crystalline Ba8Sb3Te4Cl at its relaxed geometry (PBE, Alexandria via LeMat-Bulk).

Results
Raw total energy in Ry per atom: -0.301
Total magnetization in μB per formula unit: 0.21

Cell: 10.137 10.137 10.137 Å, 58.04 58.04 58.04°
Fractional coordinates of all 16 atoms:
Ba (0.248, 0.248, 0.248)
Ba (0.251, 0.251, 0.749)
Ba (0.251, 0.749, 0.251)
Ba (0.251, 0.749, 0.749)
Ba (0.749, 0.251, 0.251)
Ba (0.749, 0.251, 0.749)
Ba (0.749, 0.749, 0.251)
Ba (0.752, 0.752, 0.752)
Sb (0.000, 0.500, 0.500)
Sb (0.500, 0.000, 0.500)
Sb (0.500, 0.500, 0.000)
Te (0.000, 0.000, 0.500)
Te (0.000, 0.500, 0.000)
Te (0.500, 0.000, 0.000)
Te (0.500, 0.500, 0.500)
Cl (0.000, 0.000, 0.000)

***

# Ba4SbTe2Cl

Crystalline Ba4SbTe2Cl at its relaxed geometry (PBE, Alexandria via LeMat-Bulk).

Results
Raw total energy in Ry per atom: -0.308
Total magnetization in μB per formula unit: 0.00

Cell: 8.616 7.000 8.616 Å, 66.03 47.94 66.03°
Fractional coordinates of all 8 atoms:
Ba (0.002, 0.500, 0.998)
Ba (0.243, 0.757, 0.243)
Ba (0.500, 0.002, 0.500)
Ba (0.757, 0.243, 0.757)
Sb (0.000, 0.000, 0.000)
Te (0.250, 0.250, 0.250)
Te (0.750, 0.750, 0.750)
Cl (0.498, 0.498, 0.502)

***

Let's list formation energy (no corrections) in order: -1495.2 -1522.5 -930.7 -1346.7 -1772.2 -1877.6 -1464.2 -1693.3 meV/atom.